1.
A plane-wave DFT calculation with GGA-PBE was carried out for an optimized crystal structure of Sm12Ho2Sc5.

Unit cell a=8.9586 b=9.1689 c=8.3549 alpha=90.01 beta=90.00 gamma=119.24
Sites, in units of the cell vectors:
Sc: 0.2501 0.5003 0.5427
Sm: 0.1659 0.3317 0.8687
Sm: 0.8280 0.2184 0.6196
Sm: 0.1720 0.7816 0.3804
Ho: 0.7838 0.0000 0.0000
Sc: 0.3550 0.7099 0.0604
Sm: 0.9769 0.3677 0.2241
Sm: 0.8341 0.6683 0.1313
Sm: 0.5520 0.1040 0.2828
Sm: 0.4480 0.8960 0.7172
Sc: 0.0000 0.0000 0.5000
Sm: 0.6096 0.7816 0.3804
Sm: 0.3908 0.3677 0.2241
Ho: 0.2162 0.0000 0.0000
Sc: 0.6450 0.2901 0.9396
Sc: 0.7499 0.4997 0.4573
Sm: 0.3904 0.2184 0.6196
Sm: 0.0231 0.6323 0.7759
Sm: 0.6092 0.6323 0.7759

M_tot = 0.0 μB per formula unit
density = 6.542 g cm⁻³
symmetry = C2/m (12)
final energy = -94.495 eV per formula unit


2.
A plane-wave DFT calculation with GGA-PBE was carried out for an optimized crystal structure of SmHoSc2.

Unit cell a=3.4365 b=3.4365 c=11.1540 alpha=81.14 beta=81.14 gamma=60.00
Sites, in units of the cell vectors:
Ho: 0.5000 0.5000 0.5000
Sc: 0.2493 0.2493 0.2522
Sm: 0.0000 0.0000 0.0000
Sc: 0.7507 0.7507 0.7478

M_tot = 0.0 μB per formula unit
energy relative to the lowest polymorph listed for this composition = 0.27 kcal/mol of atoms
density = 5.994 g cm⁻³
symmetry = R-3m (166)


The highest density belongs to which entry? Sm12Ho2Sc5


Look up the M_tot of the second one. 0.0 μB per formula unit